Material: NaW3I
Method: DFT, PBEsol
State: optimized geometry

Calculated values
The value obtained for the spin magnetization is 1.3 Bohr magnetons per cell. Its formation energy from raw total energies is 3.441 eV per atom. As for the crystal system: cubic. For the electronic total energy, the calculation gives -5.477 eV per atom.

Cell: 4.6206 4.6206 4.6206 Å, 90.00 90.00 90.00°
Positions (direct):
Na 0.0000 0.0000 0.0000
W 0.0000 0.0000 0.5000
W 0.0000 0.5000 0.0000
W 0.5000 0.0000 0.0000
I 0.5000 0.5000 0.5000